First-principles (PBE) data for crystalline Li3Sc2UTe6 at its relaxed geometry, as listed in the Alexandria database.

## Properties
Crystal system   monoclinic
Formation energy from raw total energies   -23.618 kcal/mol of atoms
Density   5.680 g/cm3

Cell: 7.3150 7.3150 7.4432 Å, 99.44 99.44 120.01°
Site moments in Bohr magnetons follow the coordinates.
Element x y z (fractional)
Li 0.8372 0.1628 0.5000  0.00
Li 0.5000 0.5000 0.5000  0.00
Li 0.1628 0.8372 0.5000  0.00
Te 0.5694 0.9165 0.7497  -0.02
Te 0.7365 0.7365 0.2506  -0.02
Te 0.4306 0.0835 0.2503  -0.02
Te 0.2635 0.2635 0.7494  -0.02
Te 0.0835 0.4306 0.2503  -0.02
Te 0.9165 0.5694 0.7497  -0.02
U 0.0000 0.0000 0.0000  2.58
Sc 0.3329 0.6671 0.0000  0.13
Sc 0.6671 0.3329 0.0000  0.13